CaZr3Fe: relaxed, PBE.

Summary:
energy above the lowest structure with this stoichiometry = 0.00 kJ per mole of atoms
E_form = 219 meV/atom
calculated volume = 122.6 Å³/f.u.
DFT total energy = -7.00 eV per atom

Geometry as POSCAR:
```
CaZr3Fe
1.0
4.968 0.000 0.000
0.000 4.968 0.000
0.000 0.000 4.968
Ca Zr Fe
1 3 1
direct
0.000 0.000 0.000
0.000 0.500 0.500
0.500 0.000 0.500
0.500 0.500 0.000
0.500 0.500 0.500
```